[1]
# LiZnIO2, optimized geometry, DFT PBE-GGA
# - DFT total energy: -2.772 eV/atom
# - Offset from the most stable computed form: 591 meV/atom
# - ΔE_f (raw): 0.79 eV per formula unit
data_LiZnIO2
_cell_length_a 3.856
_cell_length_b 3.856
_cell_length_c 5.454
_cell_angle_alpha 90.00
_cell_angle_beta 90.00
_cell_angle_gamma 90.00
_symmetry_space_group_name_H-M 'P 4/m m m'
_symmetry_Int_Tables_number 123
_symmetry_space_group_name_Hall '-P 4 2'
loop_
_atom_site_label
_atom_site_fract_x
_atom_site_fract_y
_atom_site_fract_z
_atom_site_occupancy
Li1 0.000 0.000 0.000 1
Zn1 0.500 0.500 0.500 1
I1 0.000 0.000 0.500 1
O1 0.000 0.500 0.000 1

=====

[2]
# LiZnI2O, optimized geometry, DFT PBE-GGA
# - DFT total energy: -2.282 eV/atom
# - Offset from the most stable computed form: 496 meV/atom
# - ΔE_f (raw): -0.16 eV per formula unit
data_LiZnI2O
_cell_length_a 5.498
_cell_length_b 5.498
_cell_length_c 3.655
_cell_angle_alpha 90.00
_cell_angle_beta 90.00
_cell_angle_gamma 90.00
_symmetry_space_group_name_H-M 'P 4/m m m'
_symmetry_Int_Tables_number 123
_symmetry_space_group_name_Hall '-P 4 2'
loop_
_atom_site_label
_atom_site_fract_x
_atom_site_fract_y
_atom_site_fract_z
_atom_site_occupancy
Li1 0.000 0.000 0.000 1
Zn1 0.500 0.500 0.500 1
I1 0.000 0.500 0.000 1
O1 0.000 0.000 0.500 1

=====

> What is the ΔE_f (raw) in the first record?

0.79 eV per formula unit

=====

> Which value of ΔE_f (raw) does entry 2 give?

-0.16 eV per formula unit

=====

> ΔE_f (raw) of number 2 (LiZnI2O)?

-0.16 eV per formula unit